(1)
This record from Alexandria describes Pu2HSe after structural relaxation. The functional is GGA-PBE.

```
data_Pu2HSe
_cell_length_a 6.737
_cell_length_b 6.737
_cell_length_c 6.737
_cell_angle_alpha 33.08
_cell_angle_beta 33.08
_cell_angle_gamma 33.08
_symmetry_space_group_name_H-M 'P 1'
_symmetry_Int_Tables_number 1
_symmetry_space_group_name_Hall 'P 1'
loop_
_atom_site_label
_atom_site_type_symbol
_atom_site_fract_x
_atom_site_fract_y
_atom_site_fract_z
_atom_site_occupancy
Pu1 Pu 0.235 0.235 0.235 1
Pu2 Pu 0.765 0.765 0.765 1
H1 H 0.500 0.500 0.500 1
Se1 Se 0.000 0.000 0.000 1
```

Calculated values
- DOS at the Fermi energy: 16.12 states/eV/cell
- ΔE to the lowest computed polymorph: 0.0 meV/atom
- Symmetry: R-3m (166)
- Density: 11.6 Mg/m³



(2)
This record from Alexandria describes Pm2TmHg after structural relaxation. The functional is GGA-PBE.

```
data_Pm2TmHg
_cell_length_a 10.873
_cell_length_b 10.873
_cell_length_c 10.873
_cell_angle_alpha 19.47
_cell_angle_beta 19.47
_cell_angle_gamma 19.47
_symmetry_space_group_name_H-M 'P 1'
_symmetry_Int_Tables_number 1
_symmetry_space_group_name_Hall 'P 1'
loop_
_atom_site_label
_atom_site_type_symbol
_atom_site_fract_x
_atom_site_fract_y
_atom_site_fract_z
_atom_site_occupancy
Pm1 Pm 0.000 0.000 0.000 1
Pm2 Pm 0.177 0.177 0.177 1
Tm1 Tm 0.756 0.756 0.756 1
Hg1 Hg 0.589 0.589 0.589 1
```

Calculated values
- Energy of formation: -52 kJ/mol of formula units
- DOS at the Fermi energy: 5.45 states/eV/cell
- ΔE to the lowest computed polymorph: 92.2 meV/atom
- Symmetry: R3m (160)
- Density: 8.8 Mg/m³



(3)
This record from Alexandria describes La4PN after structural relaxation. The functional is GGA-PBE.

```
data_La4PN
_cell_length_a 8.883
_cell_length_b 8.883
_cell_length_c 6.828
_cell_angle_alpha 104.60
_cell_angle_beta 104.60
_cell_angle_gamma 127.05
_symmetry_space_group_name_H-M 'P 1'
_symmetry_Int_Tables_number 1
_symmetry_space_group_name_Hall 'P 1'
loop_
_atom_site_label
_atom_site_type_symbol
_atom_site_fract_x
_atom_site_fract_y
_atom_site_fract_z
_atom_site_occupancy
La1 La 0.027 0.383 0.236 1
La2 La 0.168 0.278 0.726 1
La3 La 0.278 0.168 0.226 1
La4 La 0.383 0.027 0.736 1
La5 La 0.617 0.973 0.264 1
La6 La 0.722 0.832 0.774 1
La7 La 0.832 0.722 0.274 1
La8 La 0.973 0.617 0.764 1
P1 P 0.429 0.571 0.250 1
P2 P 0.571 0.429 0.750 1
N1 N 0.062 0.938 0.750 1
N2 N 0.938 0.062 0.250 1
```

Calculated values
- DOS at the Fermi energy: 11.03 states/eV/cell
- E_form (uncorrected): -904 meV per atom
- Symmetry: C2/c (15)
- Density: 5.6 Mg/m³



(4)
This record from Alexandria describes Ce3ZrGe6 after structural relaxation. The functional is GGA-PBE.

```
data_Ce3ZrGe6
_cell_length_a 7.678
_cell_length_b 7.678
_cell_length_c 7.678
_cell_angle_alpha 96.98
_cell_angle_beta 96.98
_cell_angle_gamma 96.98
_symmetry_space_group_name_H-M 'P 1'
_symmetry_Int_Tables_number 1
_symmetry_space_group_name_Hall 'P 1'
loop_
_atom_site_label
_atom_site_type_symbol
_atom_site_fract_x
_atom_site_fract_y
_atom_site_fract_z
_atom_site_occupancy
Ce1 Ce 0.183 0.750 0.317 1
Ce2 Ce 0.250 0.683 0.817 1
Ce3 Ce 0.317 0.183 0.750 1
Ce4 Ce 0.683 0.817 0.250 1
Ce5 Ce 0.750 0.317 0.183 1
Ce6 Ce 0.817 0.250 0.683 1
Zr1 Zr 0.000 0.000 0.000 1
Zr2 Zr 0.500 0.500 0.500 1
Ge1 Ge 0.011 0.089 0.369 1
Ge2 Ge 0.089 0.369 0.011 1
Ge3 Ge 0.131 0.411 0.489 1
Ge4 Ge 0.369 0.011 0.089 1
Ge5 Ge 0.411 0.489 0.131 1
Ge6 Ge 0.489 0.131 0.411 1
Ge7 Ge 0.511 0.869 0.589 1
Ge8 Ge 0.589 0.511 0.869 1
Ge9 Ge 0.631 0.989 0.911 1
Ge10 Ge 0.869 0.589 0.511 1
Ge11 Ge 0.911 0.631 0.989 1
Ge12 Ge 0.989 0.911 0.631 1
```

Calculated values
- Energy of formation: -625 kJ/mol of formula units
- DOS at the Fermi energy: 26.61 states/eV/cell
- Symmetry: R-3c (167)
- Density: 7.1 Mg/m³



(5)
This record from Alexandria describes CoCu3 after structural relaxation. The functional is GGA-PBE.

```
data_CoCu3
_cell_length_a 2.441
_cell_length_b 4.165
_cell_length_c 4.643
_cell_angle_alpha 90.00
_cell_angle_beta 96.19
_cell_angle_gamma 90.00
_symmetry_space_group_name_H-M 'P 1'
_symmetry_Int_Tables_number 1
_symmetry_space_group_name_Hall 'P 1'
loop_
_atom_site_label
_atom_site_type_symbol
_atom_site_fract_x
_atom_site_fract_y
_atom_site_fract_z
_atom_site_occupancy
Co1 Co 0.000 0.000 0.000 1
Cu1 Cu 0.259 0.500 0.752 1
Cu2 Cu 0.500 0.000 0.500 1
Cu3 Cu 0.741 0.500 0.248 1
```

Calculated values
- Energy of formation: 58 kJ/mol of formula units
- DOS at the Fermi energy: 3.18 states/eV/cell
- Symmetry: P2/m (10)
- Density: 8.8 Mg/m³



(6)
This record from Alexandria describes ZrMo2Pt after structural relaxation. The functional is GGA-PBE.

```
data_ZrMo2Pt
_cell_length_a 2.809
_cell_length_b 4.040
_cell_length_c 6.082
_cell_angle_alpha 90.00
_cell_angle_beta 90.00
_cell_angle_gamma 90.00
_symmetry_space_group_name_H-M 'P 1'
_symmetry_Int_Tables_number 1
_symmetry_space_group_name_Hall 'P 1'
loop_
_atom_site_label
_atom_site_type_symbol
_atom_site_fract_x
_atom_site_fract_y
_atom_site_fract_z
_atom_site_occupancy
Zr1 Zr 0.000 0.000 0.000 1
Mo1 Mo 0.000 0.000 0.505 1
Mo2 Mo 0.500 0.500 0.284 1
Pt1 Pt 0.500 0.500 0.753 1
```

Calculated values
- Energy of formation: -39 kJ/mol of formula units
- DOS at the Fermi energy: 4.36 states/eV/cell
- ΔE to the lowest computed polymorph: 169.1 meV/atom
- Symmetry: Pmm2 (25)
- Density: 11.5 Mg/m³